# 1
{"formula": "YHoBr3N", "functional": "GGA-PBE", "state": "optimized geometry", "volume_a3_per_atom": 28.5, "spacegroup": "C2/m (12)", "relative_energy_mev_per_atom": 0, "lattice": [[-5.425, -5.119, 5.941], [-2.240, -7.292, 5.723], [6.526, 9.259, 3.084]], "species": ["Br", "Br", "Br", "Br", "Br", "Br", "Ho", "Ho", "Y", "Y", "N", "N"], "fractional_positions": [[0.330, 0.330, 0.990], [0.788, 0.788, 0.381], [0.035, 0.035, 0.251], [0.212, 0.212, 0.619], [0.965, 0.965, 0.749], [0.670, 0.670, 0.010], [0.428, 0.428, 0.538], [0.572, 0.572, 0.462], [0.864, 0.864, 0.215], [0.136, 0.136, 0.785], [0.574, 0.574, 0.652], [0.426, 0.426, 0.348]]}



# 2
{"formula": "Y2Ho2Br5N", "functional": "GGA-PBE", "state": "optimized geometry", "dft_energy_ev_per_fu": -54.6, "volume_a3_per_atom": 25.5, "spacegroup": "C2/m (12)", "lattice": [[8.763, -1.863, 0.000], [8.763, 1.863, 0.000], [-1.847, 0.000, 7.816]], "species": ["Br", "Br", "Br", "Br", "Br", "N", "Ho", "Ho", "Y", "Y"], "fractional_positions": [[0.830, 0.830, 0.179], [0.836, 0.836, 0.654], [0.170, 0.170, 0.821], [0.500, 0.500, 0.500], [0.164, 0.164, 0.346], [0.500, 0.500, 0.000], [0.999, 0.999, 0.198], [0.001, 0.001, 0.802], [0.363, 0.363, 0.929], [0.637, 0.637, 0.071]]}



# 3
{"formula": "YHoBr2N", "functional": "GGA-PBE", "state": "optimized geometry", "dft_energy_ev_per_fu": -31.4, "volume_a3_per_atom": 24.0, "spacegroup": "P3m1 (156)", "lattice": [[3.651, 0.000, 0.000], [-1.825, 3.161, 0.000], [0.000, 0.000, 10.416]], "species": ["Y", "Br", "Br", "Ho", "N"], "fractional_positions": [[0.333, 0.667, 0.624], [0.333, 0.667, 0.191], [0.000, 0.000, 0.812], [0.000, 0.000, 0.377], [0.667, 0.333, 0.497]]}



# 4
{"formula": "NaHoTl2Br6", "functional": "GGA-PBE", "state": "optimized geometry", "dft_energy_ev_per_fu": -34.7, "volume_a3_per_atom": 34.2, "spacegroup": "I4/m (87)", "lattice": [[-3.876, 3.876, 5.691], [3.876, -3.876, 5.691], [3.876, 3.876, -5.691]], "species": ["Br", "Br", "Br", "Br", "Br", "Br", "Tl", "Tl", "Ho", "Na"], "fractional_positions": [[0.257, 0.257, 0.000], [0.328, 0.815, 0.143], [0.185, 0.328, 0.513], [0.672, 0.185, 0.857], [0.743, 0.743, 0.000], [0.815, 0.672, 0.487], [0.250, 0.750, 0.500], [0.750, 0.250, 0.500], [0.500, 0.500, 0.000], [0.000, 0.000, 0.000]]}



# 5
{"formula": "HoBr2O2", "functional": "GGA-PBE", "state": "optimized geometry", "dft_energy_ev_per_fu": -25.4, "volume_a3_per_atom": 29.2, "spacegroup": "C2/m (12)", "lattice": [[3.681, -5.812, 0.000], [3.681, 5.812, 0.000], [-2.595, 0.000, 6.823]], "species": ["Br", "Br", "Br", "Br", "O", "O", "O", "O", "Ho", "Ho"], "fractional_positions": [[0.592, 0.011, 0.263], [0.011, 0.592, 0.263], [0.989, 0.408, 0.737], [0.408, 0.989, 0.737], [0.812, 0.812, 0.939], [0.908, 0.908, 0.812], [0.092, 0.092, 0.188], [0.188, 0.188, 0.061], [0.830, 0.170, 0.000], [0.170, 0.830, 0.000]]}



# 6
{"formula": "HoBrO", "functional": "GGA-PBE", "state": "optimized geometry", "dft_energy_ev_per_fu": -20.0, "volume_a3_per_atom": 23.1, "spacegroup": "C2/m (12)", "lattice": [[-7.688, -5.611, 0.320], [-5.492, -7.391, -2.430], [3.649, -3.840, 5.401]], "species": ["O", "O", "O", "O", "Br", "Br", "Br", "Br", "Ho", "Ho", "Ho", "Ho"], "fractional_positions": [[0.754, 0.754, 0.379], [0.245, 0.245, 0.128], [0.246, 0.246, 0.621], [0.755, 0.755, 0.872], [0.898, 0.898, 0.149], [0.577, 0.577, 0.342], [0.423, 0.423, 0.658], [0.102, 0.102, 0.851], [0.690, 0.690, 0.616], [0.691, 0.691, 0.114], [0.310, 0.310, 0.384], [0.309, 0.309, 0.886]]}